# 1
DFT (PBE) results for crystalline GeBi3Pd at its relaxed geometry.

a = 5.3848 Å, b = 5.3848 Å, c = 5.3848 Å
α = 90.00°, β = 90.00°, γ = 90.00°
Closest atoms and distances in Å follow each position.
Positions (direct):
Pd 0.0000 0.0000 0.0000  6 Bi 2.69
Bi 0.0000 0.5000 0.0000  2 Pd 2.69
Bi 0.5000 0.0000 0.0000  2 Pd 2.69
Bi 0.0000 0.0000 0.5000  2 Pd 2.69
Ge 0.5000 0.5000 0.5000  12 Bi 3.81

**V**: 156.1 Å³/cell
**Final energy**: -19.22 eV per cell
**Energy above the lowest structure with this stoichiometry**: 0.000 eV per atom
**ΔH_f (0 K)**: 448 meV/atom


# 2
DFT (PBE) results for crystalline Zn3SnF at its relaxed geometry.

a = 5.2197 Å, b = 5.2197 Å, c = 5.2197 Å
α = 90.00°, β = 90.00°, γ = 90.00°
Closest atoms and distances in Å follow each position.
Positions (direct):
Zn 0.0000 0.0000 0.5000  2 Sn 2.61
Zn 0.5000 0.0000 0.0000  2 Sn 2.61
Zn 0.0000 0.5000 0.0000  2 Sn 2.61
Sn 0.0000 0.0000 0.0000  6 Zn 2.61
F 0.5000 0.5000 0.5000  12 Zn 3.69

**V**: 142.2 Å³/cell
**Final energy**: -9.75 eV per cell
**Energy above the lowest structure with this stoichiometry**: 0.199 eV per atom


# 3
DFT (PBE) results for crystalline In2ReTc at its relaxed geometry.

a = 4.9255 Å, b = 4.9255 Å, c = 4.9255 Å
α = 129.08°, β = 129.08°, γ = 74.89°
Closest atoms and distances in Å follow each position.
Positions (direct):
Re 0.5000 0.5000 0.0000  8 In 2.88-2.99, 4 Tc 2.88
Tc 0.7500 0.2500 0.5000  8 In 2.88-2.99, 4 Re 2.88
In 0.2500 0.7500 0.5000  4 Re 2.88, 4 In 2.88, 4 Tc 2.99
In 0.0000 0.0000 0.0000  4 Tc 2.88, 4 In 2.88, 4 Re 2.99

**V**: 70.1 Å³/cell
**Final energy**: -25.96 eV per cell
**Energy above the lowest structure with this stoichiometry**: 0.460 eV per atom
**ΔH_f (0 K)**: 582 meV/atom


# 4
DFT (PBE) results for crystalline AcEu2I at its relaxed geometry.

a = 3.9100 Å, b = 3.9100 Å, c = 10.5596 Å
α = 90.00°, β = 90.00°, γ = 90.00°
Closest atoms and distances in Å follow each position.
Positions (direct):
Eu 0.0000 0.0000 0.7205  4 I 3.61, 4 Eu 3.91, 4 Ac 4.04
Eu 0.0000 0.0000 0.2795  4 I 3.61, 4 Eu 3.91, 4 Ac 4.04
Ac 0.5000 0.5000 0.0000  4 Ac 3.91, 8 Eu 4.04
I 0.5000 0.5000 0.5000  8 Eu 3.61, 4 I 3.91

**V**: 161.4 Å³/cell
**Final energy**: -28.21 eV per cell


# 5
DFT (PBE) results for crystalline KPt2CF at its relaxed geometry.

a = 3.9074 Å, b = 3.9074 Å, c = 6.9354 Å
α = 90.00°, β = 90.00°, γ = 90.00°
Closest atoms and distances in Å follow each position.
Positions (direct):
Pt 0.5000 0.0000 0.0000  2 C 1.95
Pt 0.0000 0.5000 0.0000  2 C 1.95
F 0.0000 0.0000 0.5000  4 K 2.76
C 0.0000 0.0000 0.0000  4 Pt 1.95
K 0.5000 0.5000 0.5000  4 F 2.76

**V**: 105.9 Å³/cell
**Final energy**: -27.10 eV per cell


# 6
DFT (PBE) results for crystalline Pr2Te4Pb at its relaxed geometry.

a = 4.5749 Å, b = 8.0066 Å, c = 9.0470 Å
α = 118.28°, β = 104.65°, γ = 90.00°
Closest atoms and distances in Å follow each position.
Positions (direct):
Pr 0.7332 0.7451 0.4664  6 Te 3.15-3.29
Pr 0.2668 0.2549 0.5336  6 Te 3.15-3.29
Te 0.1249 0.8029 0.2499  3 Pr 3.15-3.24, 1 Pb 3.26
Te 0.6389 0.2854 0.2777  3 Pr 3.21-3.29, 2 Pb 3.31
Te 0.8751 0.1971 0.7501  3 Pr 3.15-3.24, 1 Pb 3.26
Te 0.3611 0.7146 0.7223  3 Pr 3.21-3.29, 2 Pb 3.31
Pb 0.0000 0.0000 0.0000  6 Te 3.26-3.31

**V**: 279.6 Å³/cell
**Final energy**: -33.59 eV per cell